DFT (PBE) results for crystalline Y4SiNiN2 at its relaxed geometry.

Calculated values
As for the volume: 18.35 Å³ per atom. The value obtained for the total energy is -7.607 eV/atom. The calculation puts the total magnetization at 0.1 μB per cell. The space group is P-6m2.

Lattice parameters (Å, degrees): 3.4946 3.4946 13.8798 90.00 90.00 120.00
With the nearest neighbours (Å) after each atom.
Sites, in units of the cell vectors:
Y  0.0000  0.0000  0.1410  3 N 2.49
Y  0.0000  0.0000  0.8590  3 N 2.49
Y  0.3333  0.6667  0.3393  3 N 2.40
Y  0.3333  0.6667  0.6607  3 N 2.40
Si  0.0000  0.0000  0.5000  6 Y 3.01
Ni  0.3333  0.6667  0.0000  6 Y 2.81
N  0.6667  0.3333  0.2460  6 Y 2.40-2.49
N  0.6667  0.3333  0.7540  6 Y 2.40-2.49